(1)
{
  "formula": "AcPrY2Se6",
  "functional": "PBE",
  "state": "optimized geometry",
  "cell": [[3.741, 2.160, 6.519], [-3.741, 2.160, 6.519], [0.000, -4.320, 6.519]],
  "species": ["Ac", "Pr", "Y", "Y", "Se", "Se", "Se", "Se", "Se", "Se"],
  "fractional_positions": [[0.000, 0.000, 0.000], [0.493, 0.493, 0.493], [0.289, 0.289, 0.289], [0.792, 0.792, 0.792], [0.073, 0.655, 0.429], [0.175, 0.572, 0.909], [0.429, 0.073, 0.655], [0.572, 0.909, 0.175], [0.655, 0.429, 0.073], [0.909, 0.175, 0.572]],
  "raw_formation_energy_mev_per_atom": -1887.5,
  "total_magnetization_mub_per_fu": 0.000,
  "volume_a3_per_atom": 31.61,
  "total_energy_ev_per_atom": -6.160
}

=====

(2)
{
  "formula": "Ac3Pr2YSe6",
  "functional": "PBE",
  "state": "optimized geometry",
  "cell": [[3.736, -6.490, 0.000], [3.736, 6.490, 0.000], [-2.503, 0.000, 7.126]],
  "species": ["Ac", "Ac", "Ac", "Pr", "Pr", "Y", "Se", "Se", "Se", "Se", "Se", "Se"],
  "fractional_positions": [[0.000, 0.000, 0.000], [0.329, 0.671, 0.000], [0.671, 0.329, 0.000], [0.167, 0.833, 0.500], [0.833, 0.167, 0.500], [0.500, 0.500, 0.500], [0.100, 0.423, 0.269], [0.256, 0.256, 0.736], [0.423, 0.100, 0.269], [0.577, 0.900, 0.731], [0.744, 0.744, 0.264], [0.900, 0.577, 0.731]],
  "raw_formation_energy_mev_per_atom": -1837.9,
  "total_magnetization_mub_per_fu": 0.000,
  "volume_a3_per_atom": 28.80,
  "total_energy_ev_per_atom": -5.943
}

=====

(3)
{
  "formula": "Ac2Pr3YSe6",
  "functional": "PBE",
  "state": "optimized geometry",
  "cell": [[3.729, -6.478, 0.000], [3.729, 6.478, 0.000], [-2.511, 0.000, 7.008]],
  "species": ["Ac", "Ac", "Pr", "Pr", "Pr", "Y", "Se", "Se", "Se", "Se", "Se", "Se"],
  "fractional_positions": [[0.165, 0.835, 0.000], [0.835, 0.165, 0.000], [0.000, 0.000, 0.500], [0.326, 0.674, 0.500], [0.674, 0.326, 0.500], [0.500, 0.500, 0.000], [0.100, 0.418, 0.751], [0.269, 0.269, 0.257], [0.418, 0.100, 0.751], [0.582, 0.900, 0.249], [0.731, 0.731, 0.743], [0.900, 0.582, 0.249]],
  "raw_formation_energy_mev_per_atom": -1825.3,
  "total_magnetization_mub_per_fu": 0.000,
  "volume_a3_per_atom": 28.22,
  "total_energy_ev_per_atom": -5.986
}

=====

(4)
{
  "formula": "AcPr2Si4",
  "functional": "PBE",
  "state": "optimized geometry",
  "cell": [[-2.007, 2.319, 9.046], [2.007, -2.319, 9.046], [2.007, 2.319, -9.046]],
  "species": ["Ac", "Pr", "Pr", "Si", "Si", "Si", "Si"],
  "fractional_positions": [[0.000, 0.000, 0.000], [0.182, 0.682, 0.500], [0.818, 0.318, 0.500], [0.354, 0.854, 0.500], [0.433, 0.433, 0.000], [0.567, 0.567, 0.000], [0.646, 0.146, 0.500]],
  "raw_formation_energy_mev_per_atom": -690.3,
  "total_magnetization_mub_per_fu": 0.000,
  "volume_a3_per_atom": 24.07,
  "total_energy_ev_per_atom": -5.742
}

=====

(5)
{
  "formula": "Ac12PrSi7",
  "functional": "PBE",
  "state": "optimized geometry",
  "cell": [[7.992, 4.614, 3.587], [-7.992, 4.614, 3.587], [0.000, -9.228, 3.587]],
  "species": ["Ac", "Ac", "Ac", "Ac", "Ac", "Ac", "Ac", "Ac", "Ac", "Ac", "Ac", "Ac", "Pr", "Si", "Si", "Si", "Si", "Si", "Si", "Si"],
  "fractional_positions": [[0.042, 0.345, 0.120], [0.120, 0.042, 0.345], [0.193, 0.724, 0.572], [0.276, 0.428, 0.807], [0.345, 0.120, 0.042], [0.428, 0.807, 0.276], [0.572, 0.193, 0.724], [0.655, 0.880, 0.958], [0.724, 0.572, 0.193], [0.807, 0.276, 0.428], [0.880, 0.958, 0.655], [0.958, 0.655, 0.880], [0.500, 0.500, 0.500], [0.000, 0.000, 0.000], [0.154, 0.384, 0.462], [0.384, 0.462, 0.154], [0.462, 0.154, 0.384], [0.538, 0.846, 0.616], [0.616, 0.538, 0.846], [0.846, 0.616, 0.538]],
  "raw_formation_energy_mev_per_atom": -278.3,
  "total_magnetization_mub_per_fu": 0.001,
  "volume_a3_per_atom": 39.68,
  "total_energy_ev_per_atom": -4.880
}

=====

(6)
{
  "formula": "Ac3Pr3Si4",
  "functional": "PBE",
  "state": "optimized geometry",
  "cell": [[4.611, 0.000, 0.000], [0.000, 5.698, 5.599], [0.000, -5.698, 5.599]],
  "species": ["Ac", "Ac", "Ac", "Pr", "Pr", "Pr", "Si", "Si", "Si", "Si"],
  "fractional_positions": [[0.000, 0.000, 0.000], [0.000, 0.145, 0.502], [0.000, 0.502, 0.145], [0.000, 0.645, 0.645], [0.500, 0.326, 0.820], [0.500, 0.820, 0.326], [0.500, 0.217, 0.217], [0.500, 0.438, 0.438], [0.500, 0.708, 0.923], [0.500, 0.923, 0.708]],
  "raw_formation_energy_mev_per_atom": -554.7,
  "total_magnetization_mub_per_fu": 0.001,
  "volume_a3_per_atom": 29.42,
  "total_energy_ev_per_atom": -5.390
}

=====

(7)
{
  "formula": "AcPrSi",
  "functional": "PBE",
  "state": "optimized geometry",
  "cell": [[2.228, -6.320, 0.000], [2.228, 6.320, 0.000], [0.000, 0.000, 6.857]],
  "species": ["Ac", "Ac", "Pr", "Pr", "Si", "Si"],
  "fractional_positions": [[0.208, 0.792, 0.750], [0.792, 0.208, 0.250], [0.500, 0.500, 0.000], [0.500, 0.500, 0.500], [0.107, 0.893, 0.250], [0.893, 0.107, 0.750]],
  "raw_formation_energy_mev_per_atom": -430.2,
  "total_magnetization_mub_per_fu": 0.000,
  "volume_a3_per_atom": 32.18,
  "total_energy_ev_per_atom": -5.201,
  "polymorph_energy_ev_per_fu": 0.00
}

=====

(8)
{
  "formula": "AcPrSi2",
  "functional": "PBE",
  "state": "optimized geometry",
  "cell": [[2.327, -6.779, 0.000], [2.327, 6.779, 0.000], [0.000, 0.000, 6.736]],
  "species": ["Ac", "Ac", "Pr", "Pr", "Si", "Si", "Si", "Si"],
  "fractional_positions": [[0.052, 0.948, 0.750], [0.948, 0.052, 0.250], [0.226, 0.774, 0.250], [0.774, 0.226, 0.750], [0.399, 0.601, 0.567], [0.399, 0.601, 0.933], [0.601, 0.399, 0.067], [0.601, 0.399, 0.433]],
  "raw_formation_energy_mev_per_atom": -640.8,
  "total_magnetization_mub_per_fu": 0.000,
  "volume_a3_per_atom": 26.56,
  "total_energy_ev_per_atom": -5.574,
  "polymorph_energy_ev_per_fu": 0.00
}

=====

(9)
{
  "formula": "Ac3PrSi7",
  "functional": "PBE",
  "state": "optimized geometry",
  "cell": [[2.258, -9.776, 0.000], [2.258, 9.776, 0.000], [0.000, 0.000, 12.073]],
  "species": ["Ac", "Ac", "Ac", "Ac", "Ac", "Ac", "Pr", "Pr", "Si", "Si", "Si", "Si", "Si", "Si", "Si", "Si", "Si", "Si", "Si", "Si", "Si", "Si"],
  "fractional_positions": [[0.106, 0.894, 0.549], [0.106, 0.894, 0.951], [0.248, 0.752, 0.250], [0.752, 0.248, 0.750], [0.894, 0.106, 0.049], [0.894, 0.106, 0.451], [0.047, 0.953, 0.250], [0.953, 0.047, 0.750], [0.269, 0.731, 0.531], [0.269, 0.731, 0.969], [0.365, 0.635, 0.650], [0.365, 0.635, 0.850], [0.428, 0.572, 0.250], [0.488, 0.512, 0.595], [0.488, 0.512, 0.905], [0.512, 0.488, 0.095], [0.512, 0.488, 0.405], [0.572, 0.428, 0.750], [0.635, 0.365, 0.150], [0.635, 0.365, 0.350], [0.731, 0.269, 0.031], [0.731, 0.269, 0.469]],
  "raw_formation_energy_mev_per_atom": -547.6,
  "total_magnetization_mub_per_fu": 0.000,
  "volume_a3_per_atom": 24.23,
  "total_energy_ev_per_atom": -5.554
}

=====

(10)
{
  "formula": "AcPrSi2",
  "functional": "PBE",
  "state": "optimized geometry",
  "cell": [[2.411, 1.392, 5.861], [-2.411, 1.392, 5.861], [0.000, -2.784, 5.861]],
  "species": ["Ac", "Pr", "Si", "Si"],
  "fractional_positions": [[0.000, 0.000, 0.000], [0.500, 0.500, 0.500], [0.237, 0.237, 0.237], [0.763, 0.763, 0.763]],
  "raw_formation_energy_mev_per_atom": -346.0,
  "total_magnetization_mub_per_fu": 0.000,
  "volume_a3_per_atom": 29.51,
  "total_energy_ev_per_atom": -5.280,
  "polymorph_energy_ev_per_fu": 1.18
}

=====

(11)
{
  "formula": "AcPrSi4",
  "functional": "PBE",
  "state": "optimized geometry",
  "cell": [[-2.224, 2.224, 6.860], [2.224, -2.224, 6.860], [2.224, 2.224, -6.860]],
  "species": ["Ac", "Pr", "Si", "Si", "Si", "Si"],
  "fractional_positions": [[0.000, 0.000, 0.000], [0.250, 0.750, 0.500], [0.412, 0.412, 0.000], [0.588, 0.588, 0.000], [0.665, 0.165, 0.500], [0.835, 0.335, 0.500]],
  "raw_formation_energy_mev_per_atom": -567.5,
  "total_magnetization_mub_per_fu": 0.000,
  "volume_a3_per_atom": 22.63,
  "total_energy_ev_per_atom": -5.664,
  "polymorph_energy_ev_per_fu": 0.00
}

=====

(12)
{
  "formula": "AcPr2Si2",
  "functional": "PBE",
  "state": "optimized geometry",
  "cell": [[6.248, -1.947, 0.000], [6.248, 1.947, 0.000], [-1.194, 0.000, 5.868]],
  "species": ["Ac", "Pr", "Pr", "Si", "Si"],
  "fractional_positions": [[0.000, 0.000, 0.000], [0.360, 0.360, 0.439], [0.640, 0.640, 0.561], [0.279, 0.279, 0.902], [0.721, 0.721, 0.098]],
  "raw_formation_energy_mev_per_atom": -492.2,
  "total_magnetization_mub_per_fu": 0.000,
  "volume_a3_per_atom": 28.56,
  "total_energy_ev_per_atom": -5.395,
  "polymorph_energy_ev_per_fu": 0.30
}